CsCdN2F | PBE-GGA | optimized geometry

Cell lengths 4.4387, 4.4387, 4.9512 Å; angles 90.00, 90.00, 90.00 degrees
Closest atoms and distances in Å follow each position.
Space group P4/mmm (No. 123)
Asymmetric unit:
Cs (0.0000, 0.0000, 0.0000)  4 N 2.22, 2 F 2.48
Cd (0.5000, 0.5000, 0.5000)  4 F 3.14, 8 N 3.32
N (0.0000, 0.5000, 0.0000)  2 Cs 2.22
F (0.0000, 0.0000, 0.5000)  2 Cs 2.48

Output
Energy   -2.49 eV/atom
Raw formation energy   1.569 eV/atom